# 1
Dy5Ir4Ru: optimized geometry, PBE.

abc: 3.4421 3.4421 16.8926
angles: 90.00 90.00 90.00
Last column: nearest neighbours and their distance in Å.
Sites, in units of the cell vectors:
Dy (0.5000, 0.5000, 0.0984)  4 Ru 2.95, 4 Ir 2.98
Dy (0.5000, 0.5000, 0.2994)  8 Ir 2.96-2.97
Dy (0.5000, 0.5000, 0.5000)  8 Ir 2.96
Dy (0.5000, 0.5000, 0.7006)  8 Ir 2.96-2.97
Dy (0.5000, 0.5000, 0.9016)  4 Ru 2.95, 4 Ir 2.98
Ir (0.0000, 0.0000, 0.2002)  8 Dy 2.96-2.98
Ir (0.0000, 0.0000, 0.3999)  8 Dy 2.96-2.97
Ir (0.0000, 0.0000, 0.6001)  8 Dy 2.96-2.97
Ir (0.0000, 0.0000, 0.7998)  8 Dy 2.96-2.98
Ru (0.0000, 0.0000, 0.0000)  8 Dy 2.95

Results
Space group: P4/mmm, No. 123

# 2
YZn9Au3: optimized geometry, PBE.

abc: 5.5369 6.9092 6.9255
angles: 80.51 66.44 65.65
Last column: nearest neighbours and their distance in Å.
Sites, in units of the cell vectors:
Y (0.0000, 0.0000, 0.0000)  14 Zn 3.18-3.45, 6 Au 3.42-3.46
Zn (0.7205, 0.7855, 0.7911)  4 Zn 2.59-2.84, 3 Au 2.66-2.69
Zn (0.2795, 0.2145, 0.2089)  4 Zn 2.59-2.84, 3 Au 2.66-2.69
Zn (0.4884, 0.2145, 0.7911)  4 Zn 2.59-2.84, 3 Au 2.66-2.69
Zn (0.5116, 0.7855, 0.2089)  4 Zn 2.59-2.84, 3 Au 2.66-2.69
Zn (0.6458, 0.3589, 0.3533)  3 Zn 2.57-2.84, 3 Au 2.78-2.83
Zn (0.3542, 0.6411, 0.6467)  3 Zn 2.57-2.84, 3 Au 2.78-2.83
Zn (0.0009, 0.6411, 0.3533)  3 Zn 2.57-2.84, 3 Au 2.78-2.83
Zn (0.9991, 0.3589, 0.6467)  3 Zn 2.57-2.84, 3 Au 2.78-2.83
Zn (0.0000, 0.5000, 0.0000)  8 Zn 2.59-2.78, 2 Au 2.77
Au (0.5000, 0.5000, 0.0000)  10 Zn 2.67-2.78
Au (0.0000, 0.0000, 0.5000)  8 Zn 2.66-2.83, 2 Au 2.77
Au (0.5000, 0.0000, 0.5000)  8 Zn 2.66-2.83, 2 Au 2.77

Results
Space group: C2/m, No. 12

# 3
CdNiMo4: optimized geometry, PBE.

abc: 5.2292 5.2292 5.2292
angles: 60.00 60.00 60.00
Last column: nearest neighbours and their distance in Å.
Sites, in units of the cell vectors:
Cd (0.0000, 0.0000, 0.0000)  12 Mo 3.07, 4 Ni 3.20
Ni (0.7500, 0.7500, 0.7500)  12 Mo 3.07, 4 Cd 3.20
Mo (0.8743, 0.3752, 0.3752)  6 Mo 2.61-2.62
Mo (0.3752, 0.3752, 0.8743)  6 Mo 2.61-2.62
Mo (0.3752, 0.8743, 0.3752)  6 Mo 2.61-2.62
Mo (0.3752, 0.3752, 0.3752)  6 Mo 2.61-2.62

Results
Space group: F-43m, No. 216

# 4
Ti6NbFe5: optimized geometry, PBE.

abc: 4.2509 6.0177 7.3789
angles: 114.06 106.74 90.00
Last column: nearest neighbours and their distance in Å.
Sites, in units of the cell vectors:
Nb (0.0000, 0.0000, 0.0000)  8 Ti 2.64-2.67
Fe (0.3309, 0.8309, 0.6619)  8 Ti 2.52-2.67
Fe (0.6673, 0.6673, 0.3347)  8 Ti 2.57-2.59
Fe (0.0000, 0.5000, 0.0000)  8 Ti 2.57-2.64
Fe (0.3327, 0.3327, 0.6653)  8 Ti 2.57-2.59
Fe (0.6691, 0.1691, 0.3381)  8 Ti 2.52-2.67
Ti (0.1714, 0.4261, 0.3427)  7 Fe 2.52-2.64, 1 Nb 2.67
Ti (0.1714, 0.9166, 0.3427)  7 Fe 2.52-2.64, 1 Nb 2.67
Ti (0.5000, 0.2612, 0.0000)  6 Fe 2.57-2.67, 2 Nb 2.64
Ti (0.5000, 0.7388, 0.0000)  6 Fe 2.57-2.67, 2 Nb 2.64
Ti (0.8286, 0.0834, 0.6573)  7 Fe 2.52-2.64, 1 Nb 2.67
Ti (0.8286, 0.5739, 0.6573)  7 Fe 2.52-2.64, 1 Nb 2.67

Results
Space group: Immm, No. 71

no.,DFT formation energy (kJ per mole of atoms)
1,-69
2,-23
3,53
4,-25